Record 1
# LaCuTeN2

LaCuTeN2 after structural relaxation (PBE, Alexandria).

space group = P4/mmm (123)
DOS(E_F) = 4.37 states/eV per cell
formation energy from raw total energies = 894 meV per atom
E = -4.869 eV per atom

a = 4.1086 Å, b = 4.1086 Å, c = 7.0569 Å
α = 90.00°, β = 90.00°, γ = 90.00°
Element x y z (fractional)
La (0.0000, 0.0000, 0.0000)
Cu (0.5000, 0.5000, 0.5000)
Te (0.0000, 0.0000, 0.5000)
N (0.0000, 0.5000, 0.0000)
N (0.5000, 0.0000, 0.0000)

***

Record 2
# NaLiLa2Rh

NaLiLa2Rh after structural relaxation (PBE, Alexandria).

formation energy = -0.11 eV/atom
space group = P4/mmm (123)
DOS(E_F) = 4.10 states/eV per cell
E = -4.195 eV per atom

a = 5.4231 Å, b = 5.4231 Å, c = 5.8406 Å
α = 90.00°, β = 90.00°, γ = 90.00°
Element x y z (fractional)
Na (0.0000, 0.0000, 0.0000)
Li (0.5000, 0.5000, 0.0000)
La (0.0000, 0.5000, 0.5000)
La (0.5000, 0.0000, 0.5000)
Rh (0.0000, 0.0000, 0.5000)

***

Record 3
# Cd5Pt2Au4

Cd5Pt2Au4 after structural relaxation (PBE, Alexandria).

formation energy = -0.19 eV/atom
space group = Pbam (55)
DOS(E_F) = 6.19 states/eV per cell
E = -2.891 eV per atom

a = 6.5600 Å, b = 15.8505 Å, c = 4.0933 Å
α = 90.00°, β = 90.00°, γ = 90.00°
Element x y z (fractional)
Cd (0.0000, 0.0000, 0.0000)
Cd (0.0859, 0.4083, 0.0000)
Cd (0.1777, 0.2057, 0.0000)
Cd (0.3223, 0.7057, 0.0000)
Cd (0.4141, 0.9083, 0.0000)
Cd (0.5000, 0.5000, 0.0000)
Cd (0.5859, 0.0917, 0.0000)
Cd (0.6777, 0.2943, 0.0000)
Cd (0.8223, 0.7943, 0.0000)
Cd (0.9141, 0.5917, 0.0000)
Pt (0.0235, 0.7033, 0.5000)
Pt (0.4765, 0.2033, 0.5000)
Pt (0.5235, 0.7967, 0.5000)
Pt (0.9765, 0.2967, 0.5000)
Au (0.1108, 0.8726, 0.5000)
Au (0.2082, 0.5421, 0.5000)
Au (0.2918, 0.0421, 0.5000)
Au (0.3892, 0.3726, 0.5000)
Au (0.6108, 0.6274, 0.5000)
Au (0.7082, 0.9579, 0.5000)
Au (0.7918, 0.4579, 0.5000)
Au (0.8892, 0.1274, 0.5000)

***

Record 4
# NaAlI4

NaAlI4 after structural relaxation (PBE, Alexandria).

space group = Pnma (62)
DOS(E_F) = 0.00 states/eV per cell
formation energy from raw total energies = -885 meV per atom
E = -2.762 eV per atom

a = 15.1054 Å, b = 8.3870 Å, c = 8.5376 Å
α = 90.00°, β = 90.00°, γ = 90.00°
Element x y z (fractional)
Na (0.1506, 0.2500, 0.0584)
Na (0.3494, 0.7500, 0.5584)
Na (0.6506, 0.2500, 0.4416)
Na (0.8494, 0.7500, 0.9416)
Al (0.1038, 0.7500, 0.8112)
Al (0.3962, 0.2500, 0.3112)
Al (0.6038, 0.7500, 0.6888)
Al (0.8962, 0.2500, 0.1888)
I (0.0308, 0.2500, 0.3691)
I (0.0508, 0.7500, 0.0961)
I (0.2032, 0.5057, 0.7557)
I (0.2032, 0.9943, 0.7557)
I (0.2968, 0.0057, 0.2557)
I (0.2968, 0.4943, 0.2557)
I (0.4492, 0.2500, 0.5961)
I (0.4692, 0.7500, 0.8691)
I (0.5308, 0.2500, 0.1309)
I (0.5508, 0.7500, 0.4039)
I (0.7032, 0.5057, 0.7443)
I (0.7032, 0.9943, 0.7443)
I (0.7968, 0.0057, 0.2443)
I (0.7968, 0.4943, 0.2443)
I (0.9492, 0.2500, 0.9039)
I (0.9692, 0.7500, 0.6309)

***

Record 5
# Sr3LiPd

Sr3LiPd after structural relaxation (PBE, Alexandria).

formation energy = -0.26 eV/atom
space group = C2/m (12)
DOS(E_F) = 6.29 states/eV per cell
E = -2.686 eV per atom

a = 9.0930 Å, b = 9.0930 Å, c = 9.2722 Å
α = 90.08°, β = 90.08°, γ = 29.45°
Element x y z (fractional)
Sr (0.0582, 0.0582, 0.2114)
Sr (0.2457, 0.2457, 0.7919)
Sr (0.3855, 0.3855, 0.4498)
Sr (0.6145, 0.6145, 0.5502)
Sr (0.7543, 0.7543, 0.2081)
Sr (0.9418, 0.9418, 0.7886)
Li (0.4146, 0.4146, 0.0719)
Li (0.5854, 0.5854, 0.9281)
Pd (0.2092, 0.2092, 0.4252)
Pd (0.7908, 0.7908, 0.5748)

***

Record 6
# YMnPS2

YMnPS2 after structural relaxation (PBE, Alexandria).

space group = P4/mmm (123)
DOS(E_F) = 3.80 states/eV per cell
formation energy from raw total energies = 202 meV per atom
E = -5.658 eV per atom

a = 5.1595 Å, b = 5.1595 Å, c = 5.3513 Å
α = 90.00°, β = 90.00°, γ = 90.00°
Element x y z (fractional)
Y (0.0000, 0.0000, 0.0000)
Mn (0.5000, 0.5000, 0.5000)
P (0.0000, 0.0000, 0.5000)
S (0.0000, 0.5000, 0.0000)
S (0.5000, 0.0000, 0.0000)

***

Record 7
# RbCd4Bi2

RbCd4Bi2 after structural relaxation (PBE, Alexandria).

formation energy = -0.12 eV/atom
space group = Cmmm (65)
DOS(E_F) = 1.30 states/eV per cell
E = -1.887 eV per atom

a = 9.0358 Å, b = 9.0358 Å, c = 4.8996 Å
α = 90.00°, β = 90.00°, γ = 146.56°
Element x y z (fractional)
Rb (0.0000, 0.0000, 0.0000)
Cd (0.1896, 0.8104, 0.5000)
Cd (0.2966, 0.7034, 0.0000)
Cd (0.7034, 0.2966, 0.0000)
Cd (0.8104, 0.1896, 0.5000)
Bi (0.4046, 0.5954, 0.5000)
Bi (0.5954, 0.4046, 0.5000)

***

Record 8
# Pm4Y2Tm

Pm4Y2Tm after structural relaxation (PBE, Alexandria).

formation energy = 0.05 eV/atom
space group = Fdd2 (43)
DOS(E_F) = 20.38 states/eV per cell
E = -5.147 eV per atom

a = 12.5405 Å, b = 6.7968 Å, c = 13.5107 Å
α = 67.10°, β = 29.95°, γ = 82.95°
Element x y z (fractional)
Pm (0.0177, 0.9823, 0.1225)
Pm (0.1275, 0.3725, 0.2323)
Pm (0.3725, 0.1275, 0.2677)
Pm (0.4590, 0.6056, 0.2549)
Pm (0.5694, 0.9951, 0.6444)
Pm (0.6056, 0.4590, 0.6806)
Pm (0.9823, 0.0177, 0.8775)
Pm (0.9951, 0.5694, 0.7910)
Y (0.0663, 0.5472, 0.0030)
Y (0.2470, 0.8666, 0.1837)
Y (0.5472, 0.0663, 0.3834)
Y (0.8666, 0.2470, 0.7028)
Tm (0.4926, 0.4926, 0.5074)
Tm (0.7426, 0.7426, 0.7574)

***

Record 9
# ReMo2Pd

ReMo2Pd after structural relaxation (PBE, Alexandria).

formation energy = 0.72 eV/atom
space group = I-42d (122)
DOS(E_F) = 8.17 states/eV per cell
E = -9.107 eV per atom

a = 5.7034 Å, b = 5.7034 Å, c = 5.7034 Å
α = 102.96°, β = 102.96°, γ = 123.46°
Element x y z (fractional)
Re (0.0000, 0.0000, 0.0000)
Re (0.7500, 0.2500, 0.5000)
Mo (0.1040, 0.6250, 0.9790)
Mo (0.3750, 0.3540, 0.4790)
Mo (0.6460, 0.1250, 0.0210)
Mo (0.8750, 0.8960, 0.5210)
Pd (0.2500, 0.7500, 0.5000)
Pd (0.5000, 0.5000, 0.0000)

***

Record 10
# GaSeS

GaSeS after structural relaxation (PBE, Alexandria).

space group = C2 (5)
formation energy from raw total energies = -414 meV per atom
E = -3.960 eV per atom

a = 7.7473 Å, b = 7.7473 Å, c = 3.7522 Å
α = 95.28°, β = 95.28°, γ = 46.71°
Element x y z (fractional)
Ga (0.2039, 0.2039, 0.2260)
Ga (0.7961, 0.7961, 0.7740)
Se (0.0721, 0.7856, 0.1416)
Se (0.2144, 0.9279, 0.8584)
S (0.4148, 0.1779, 0.7393)
S (0.8221, 0.5852, 0.2607)

***

Record 11
# CuAsH2S

CuAsH2S after structural relaxation (PBE, Alexandria).

space group = P4/mmm (123)
DOS(E_F) = 1.84 states/eV per cell
E = -3.509 eV per atom

a = 3.4049 Å, b = 3.4049 Å, c = 5.6606 Å
α = 90.00°, β = 90.00°, γ = 90.00°
Element x y z (fractional)
Cu (0.0000, 0.0000, 0.0000)
As (0.5000, 0.5000, 0.0000)
H (0.0000, 0.5000, 0.5000)
H (0.5000, 0.0000, 0.5000)
S (0.0000, 0.0000, 0.5000)

***

Record 12
# Yb5P12Ru19

Yb5P12Ru19 after structural relaxation (PBE, Alexandria).

formation energy = -0.76 eV/atom
space group = P-62m (189)
DOS(E_F) = 78.36 states/eV per cell
E = -7.673 eV per atom

a = 12.5455 Å, b = 12.5455 Å, c = 3.9748 Å
α = 90.00°, β = 90.00°, γ = 120.00°
Element x y z (fractional)
Yb (0.0000, 0.1829, 0.0000)
Yb (0.1829, 0.0000, 0.0000)
Yb (0.3333, 0.6667, 0.5000)
Yb (0.6667, 0.3333, 0.5000)
Yb (0.8171, 0.8171, 0.0000)
P (0.0000, 0.3737, 0.5000)
P (0.0000, 0.8151, 0.5000)
P (0.1715, 0.6937, 0.0000)
P (0.1849, 0.1849, 0.5000)
P (0.3063, 0.4778, 0.0000)
P (0.3737, 0.0000, 0.5000)
P (0.4778, 0.3063, 0.0000)
P (0.5222, 0.8285, 0.0000)
P (0.6263, 0.6263, 0.5000)
P (0.6937, 0.1715, 0.0000)
P (0.8151, 0.0000, 0.5000)
P (0.8285, 0.5222, 0.0000)
Ru (0.0000, 0.0000, 0.5000)
Ru (0.0000, 0.5549, 0.5000)
Ru (0.0000, 0.7164, 0.0000)
Ru (0.1251, 0.4913, 0.0000)
Ru (0.1849, 0.8064, 0.5000)
Ru (0.1936, 0.3785, 0.5000)
Ru (0.2836, 0.2836, 0.0000)
Ru (0.3661, 0.8749, 0.0000)
Ru (0.3785, 0.1936, 0.5000)
Ru (0.4451, 0.4451, 0.5000)
Ru (0.4913, 0.1251, 0.0000)
Ru (0.5087, 0.6339, 0.0000)
Ru (0.5549, 0.0000, 0.5000)
Ru (0.6215, 0.8151, 0.5000)
Ru (0.6339, 0.5087, 0.0000)
Ru (0.7164, 0.0000, 0.0000)
Ru (0.8064, 0.1849, 0.5000)
Ru (0.8151, 0.6215, 0.5000)
Ru (0.8749, 0.3661, 0.0000)

***

Which value of E does entry 4 give? -2.762 eV per atom